The following is a PBE calculation of AgBPb after structural relaxation, from Alexandria.

a = 9.2385 Å, b = 4.2533 Å, c = 6.2374 Å
α = 90.00°, β = 90.00°, γ = 90.00°
Closest atoms and distances in Å follow each position.
Positions (direct):
Ag 0.0592 0.2500 0.1070  3 B 2.24-2.39
Ag 0.4408 0.7500 0.6070  3 B 2.24-2.39
Ag 0.5592 0.2500 0.3930  3 B 2.24-2.39
Ag 0.9408 0.7500 0.8930  3 B 2.24-2.39
B 0.0791 0.7500 0.2168  3 Ag 2.24-2.39
B 0.4209 0.2500 0.7168  3 Ag 2.24-2.39
B 0.5791 0.7500 0.2832  3 Ag 2.24-2.39
B 0.9209 0.2500 0.7832  3 Ag 2.24-2.39
Pb 0.1572 0.2500 0.5556  2 B 2.60-2.64
Pb 0.3428 0.7500 0.0556  2 B 2.60-2.64
Pb 0.6572 0.2500 0.9444  2 B 2.60-2.64
Pb 0.8428 0.7500 0.4444  2 B 2.60-2.64

Results
Its formation energy is 0.800 eV/atom. The total energy comes out at -3.61 eV per atom.